# 1
A geometry-optimized YSc2Co structure, computed with PBE-GGA.

Properties
Energy relative to the lowest polymorph listed for this composition   161 meV/atom
Spin magnetization   0.00 μB per formula unit
ΔH_f (0 K)   -0.03 eV per atom
Space-group type   R3m, No. 160

Structure (POSCAR):
```
YSc2Co
1.0
1.841 1.063 8.047
-1.841 1.063 8.047
0.000 -2.125 8.047
Y Sc Co
1 2 1
Cartesian
0.000 0.000 0.000
0.000 0.000 13.336
0.000 0.000 18.749
0.000 0.000 3.992
```


# 2
A geometry-optimized YScCo2 structure, computed with PBE-GGA.

Properties
Energy relative to the lowest polymorph listed for this composition   547 meV/atom
Spin magnetization   0.97 μB per formula unit
ΔH_f (0 K)   0.34 eV per atom
Space-group type   I-42d, No. 122

Structure (POSCAR):
```
YScCo2
1.0
-2.310 2.310 8.009
2.310 -2.310 8.009
2.310 2.310 -8.009
Y Sc Co
2 2 4
Cartesian
0.000 0.000 0.000
0.000 2.310 4.005
2.310 0.000 4.005
0.000 0.000 8.009
1.155 2.302 -2.002
2.318 1.155 2.002
1.155 0.008 6.007
-0.008 1.155 10.012
```


# 3
A geometry-optimized YSc2Co structure, computed with PBE-GGA.

Properties
Energy relative to the lowest polymorph listed for this composition   121 meV/atom
Spin magnetization   1.67 μB per formula unit
ΔH_f (0 K)   -0.07 eV per atom
Space-group type   P4mm, No. 99

Structure (POSCAR):
```
YSc2Co
1.0
3.297 0.000 0.000
0.000 3.297 0.000
0.000 0.000 8.134
Y Sc Co
1 2 1
Cartesian
0.000 0.000 0.000
0.000 0.000 3.138
1.648 1.648 5.493
1.648 1.648 1.752
```


# 4
A geometry-optimized Y2ScCo structure, computed with PBE-GGA.

Properties
Energy relative to the lowest polymorph listed for this composition   420 meV/atom
Spin magnetization   1.08 μB per formula unit
ΔH_f (0 K)   0.26 eV per atom
Space-group type   I-4m2, No. 119

Structure (POSCAR):
```
Y2ScCo
1.0
-2.122 2.122 5.138
2.122 -2.122 5.138
2.122 2.122 -5.138
Y Sc Co
2 1 1
Cartesian
0.000 0.000 0.000
0.000 2.122 2.569
0.000 0.000 5.138
2.122 0.000 2.569
```


# 5
A geometry-optimized Y3ScCo8 structure, computed with PBE-GGA.

Properties
Spin magnetization   7.50 μB per formula unit
ΔH_f (0 K)   -0.22 eV per atom
Space-group type   R3m, No. 160

Structure (POSCAR):
```
Y3ScCo8
1.0
2.516 1.453 8.229
-2.516 1.453 8.229
0.000 -2.905 8.229
Y Sc Co
3 1 8
Cartesian
0.000 0.000 0.000
0.000 0.000 3.115
0.000 0.000 15.383
0.000 0.000 12.330
0.000 -1.446 5.614
-1.253 0.723 5.614
-1.245 -0.719 9.808
0.000 0.000 7.708
1.253 0.723 5.614
1.245 -0.719 9.808
0.000 1.438 9.808
0.000 0.000 20.068
```


# 6
A geometry-optimized Y2ScCo structure, computed with PBE-GGA.

Properties
Energy relative to the lowest polymorph listed for this composition   307 meV/atom
Spin magnetization   0.28 μB per formula unit
ΔH_f (0 K)   0.14 eV per atom
Space-group type   P4/mmm, No. 123

Structure (POSCAR):
```
Y2ScCo
1.0
4.983 0.000 0.000
0.000 4.983 0.000
0.000 0.000 3.716
Y Sc Co
2 1 1
Cartesian
0.000 2.492 0.000
2.492 0.000 0.000
0.000 0.000 1.858
2.492 2.492 1.858
```


# 7
A geometry-optimized YSc2Co structure, computed with PBE-GGA.

Properties
Energy relative to the lowest polymorph listed for this composition   371 meV/atom
Spin magnetization   1.24 μB per formula unit
ΔH_f (0 K)   0.18 eV per atom
Space-group type   I4/mmm, No. 139

Structure (POSCAR):
```
YSc2Co
1.0
-2.047 2.047 5.062
2.047 -2.047 5.062
2.047 2.047 -5.062
Y Sc Co
1 2 1
Cartesian
0.000 0.000 0.000
2.047 0.000 2.531
0.000 2.047 2.531
0.000 0.000 5.062
```


# 8
A geometry-optimized YSc2Co structure, computed with PBE-GGA.

Properties
Energy relative to the lowest polymorph listed for this composition   58 meV/atom
Spin magnetization   0.38 μB per formula unit
ΔH_f (0 K)   -0.13 eV per atom
Space-group type   Pmmm, No. 47

Structure (POSCAR):
```
YSc2Co
1.0
3.210 0.000 0.000
0.000 3.222 0.000
0.000 0.000 8.381
Y Sc Co
1 2 1
Cartesian
0.000 0.000 0.000
1.605 1.611 2.694
1.605 1.611 5.688
0.000 0.000 4.191
```


# 9
A geometry-optimized YSc2Co structure, computed with PBE-GGA.

Properties
Energy relative to the lowest polymorph listed for this composition   235 meV/atom
Spin magnetization   0.00 μB per formula unit
ΔH_f (0 K)   0.04 eV per atom
Space-group type   I-42d, No. 122

Structure (POSCAR):
```
YSc2Co
1.0
-3.952 3.952 2.935
3.952 -3.952 2.935
3.952 3.952 -2.935
Y Sc Co
2 4 2
Cartesian
0.000 0.000 0.000
0.000 3.952 1.467
1.976 -1.315 2.201
2.637 1.976 0.734
1.976 5.267 -0.734
1.315 1.976 3.668
3.952 0.000 1.467
0.000 0.000 2.935
```


# 10
A geometry-optimized Y3ScCo structure, computed with PBE-GGA.

Properties
Energy relative to the lowest polymorph listed for this composition   1123 meV/atom
Spin magnetization   2.05 μB per formula unit
ΔH_f (0 K)   1.19 eV per atom
Space-group type   Pm-3m, No. 221

Structure (POSCAR):
```
Y3ScCo
1.0
5.388 0.000 0.000
0.000 5.388 0.000
0.000 0.000 5.388
Y Sc Co
3 1 1
Cartesian
0.000 0.000 2.694
0.000 2.694 0.000
2.694 0.000 0.000
0.000 0.000 0.000
2.694 2.694 2.694
```


# 11
A geometry-optimized YSc4Co structure, computed with PBE-GGA.

Properties
Energy relative to the lowest polymorph listed for this composition   546 meV/atom
Spin magnetization   2.19 μB per formula unit
ΔH_f (0 K)   0.53 eV per atom
Space-group type   F-43m, No. 216

Structure (POSCAR):
```
YSc4Co
1.0
0.000 4.160 4.160
4.160 0.000 4.160
4.160 4.160 0.000
Y Sc Co
1 4 1
Cartesian
0.000 0.000 0.000
3.126 3.126 3.126
5.194 5.194 3.126
5.194 3.126 5.194
3.126 5.194 5.194
6.241 6.241 6.241
```


# 12
A geometry-optimized Y3ScCo structure, computed with PBE-GGA.

Properties
Energy relative to the lowest polymorph listed for this composition   0 meV/atom
Spin magnetization   0.00 μB per formula unit
ΔH_f (0 K)   0.07 eV per atom
Space-group type   Pm-3m, No. 221

Structure (POSCAR):
```
Y3ScCo
1.0
5.236 0.000 0.000
0.000 5.236 0.000
0.000 0.000 5.236
Y Sc Co
3 1 1
Cartesian
0.000 0.000 2.618
0.000 2.618 0.000
2.618 0.000 0.000
2.618 2.618 2.618
0.000 0.000 0.000
```


# 13
A geometry-optimized YSc2Co structure, computed with PBE-GGA.

Properties
Energy relative to the lowest polymorph listed for this composition   333 meV/atom
Spin magnetization   0.00 μB per formula unit
ΔH_f (0 K)   0.14 eV per atom
Space-group type   R-3m, No. 166

Structure (POSCAR):
```
YSc2Co
1.0
1.684 0.972 9.852
-1.684 0.972 9.852
0.000 -1.944 9.852
Y Sc Co
1 2 1
Cartesian
0.000 0.000 0.000
0.000 0.000 3.348
0.000 0.000 26.208
0.000 0.000 14.778
```


# 14
A geometry-optimized YSc2Co structure, computed with PBE-GGA.

Properties
Energy relative to the lowest polymorph listed for this composition   271 meV/atom
Spin magnetization   0.69 μB per formula unit
ΔH_f (0 K)   0.08 eV per atom
Space-group type   R3m, No. 160

Structure (POSCAR):
```
YSc2Co
1.0
1.741 1.005 8.929
-1.741 1.005 8.929
0.000 -2.010 8.929
Y Sc Co
1 2 1
Cartesian
0.000 0.000 0.000
0.000 0.000 14.578
0.000 0.000 20.782
0.000 0.000 7.145
```


# 15
A geometry-optimized YScZnCo structure, computed with PBE-GGA.

Properties
Spin magnetization   0.00 μB per formula unit
ΔH_f (0 K)   -0.25 eV per atom
Space-group type   F-43m, No. 216

Structure (POSCAR):
```
YScZnCo
1.0
0.000 3.349 3.349
3.349 0.000 3.349
3.349 3.349 0.000
Y Sc Zn Co
1 1 1 1
Cartesian
0.000 0.000 0.000
3.349 3.349 3.349
1.674 1.674 1.674
5.023 5.023 5.023
```


# 16
A geometry-optimized YZrSc2Co structure, computed with PBE-GGA.

Properties
Spin magnetization   0.00 μB per formula unit
ΔH_f (0 K)   -0.02 eV per atom
Space-group type   P4/mmm, No. 123

Structure (POSCAR):
```
YZrSc2Co
1.0
4.933 0.000 0.000
0.000 4.933 0.000
0.000 0.000 4.939
Y Zr Sc Co
1 1 2 1
Cartesian
0.000 0.000 0.000
2.466 2.466 0.000
0.000 2.466 2.470
2.466 0.000 2.470
2.466 2.466 2.470
```


# 17
A geometry-optimized ScZnCo3 structure, computed with PBE-GGA.

Properties
Energy relative to the lowest polymorph listed for this composition   0 meV/atom
Spin magnetization   2.22 μB per formula unit
ΔH_f (0 K)   0.70 eV per atom
Space-group type   Pm-3m, No. 221

Structure (POSCAR):
```
ScZnCo3
1.0
4.334 0.000 0.000
0.000 4.334 0.000
0.000 0.000 4.334
Sc Zn Co
1 1 3
Cartesian
0.000 0.000 0.000
2.167 2.167 2.167
0.000 2.167 2.167
2.167 0.000 2.167
2.167 2.167 0.000
```


# 18
A geometry-optimized Sc5ZnCo2 structure, computed with PBE-GGA.

Properties
Spin magnetization   0.00 μB per formula unit
ΔH_f (0 K)   -0.29 eV per atom
Space-group type   I4/mcm, No. 140

Structure (POSCAR):
```
Sc5ZnCo2
1.0
-3.532 3.532 6.049
3.532 -3.532 6.049
3.532 3.532 -6.049
Sc Zn Co
10 2 4
Cartesian
0.000 0.000 0.000
4.666 1.134 -1.671
1.134 2.399 -1.671
4.666 1.134 1.671
1.134 2.399 1.671
0.000 0.000 6.049
2.399 1.134 4.378
-1.134 2.399 4.378
2.399 1.134 7.721
-1.134 2.399 7.721
0.000 0.000 3.025
0.000 0.000 9.074
2.573 0.959 0.000
2.573 -0.959 6.049
0.959 4.492 0.000
0.959 2.573 6.049
```


# 19
A geometry-optimized Sc3ZnCo structure, computed with PBE-GGA.

Properties
Energy relative to the lowest polymorph listed for this composition   0 meV/atom
Spin magnetization   0.00 μB per formula unit
ΔH_f (0 K)   -0.29 eV per atom
Space-group type   C2/m, No. 12

Structure (POSCAR):
```
Sc3ZnCo
1.0
4.333 -2.896 0.000
4.333 2.896 0.000
-4.324 0.000 7.506
Sc Zn Co
6 2 2
Cartesian
-0.534 0.000 2.141
-0.527 0.000 5.358
2.167 0.000 0.772
2.174 0.000 6.734
4.868 0.000 2.148
4.875 0.000 5.365
2.170 1.186 3.753
2.170 -1.186 3.753
4.333 1.446 0.000
4.333 -1.446 0.000
```


# 20
A geometry-optimized Sc2ZnCo2 structure, computed with PBE-GGA.

Properties
Spin magnetization   0.00 μB per formula unit
ΔH_f (0 K)   0.00 eV per atom
Space-group type   P4/mbm, No. 127

Structure (POSCAR):
```
Sc2ZnCo2
1.0
7.389 0.000 0.000
0.000 7.389 0.000
0.000 0.000 2.940
Sc Zn Co
4 2 4
Cartesian
1.077 2.618 0.000
2.618 6.312 0.000
4.772 1.077 0.000
6.312 4.772 0.000
0.000 0.000 0.000
3.695 3.695 0.000
1.126 4.820 1.470
2.569 1.126 1.470
4.820 6.263 1.470
6.263 2.569 1.470
```